## Rb3PaTl2S6 (PBE)

Data for Rb3PaTl2S6 after structural relaxation.

Results
Electronic total energy = -4.5025 eV/atom
Uncorrected formation energy = -1011.2 meV/atom
N(E_F) = 4.27 states/eV/f.u.
Total magnetization = 0.00 μB per formula unit

```
data_Rb3PaTl2S6
_chemical_formula_sum 'Rb6 Pa2 Tl4 S12'
_space_group_name_H-M_alt 'C 1 2/m 1'
_space_group_IT_number 12
_space_group_name_Hall '-C 2y'
_cell_length_a 7.338
_cell_length_b 12.710
_cell_length_c 8.018
_cell_angle_alpha 90.00
_cell_angle_beta 107.56
_cell_angle_gamma 90.00
loop_
_atom_site_label
_atom_site_fract_x
_atom_site_fract_y
_atom_site_fract_z
_atom_site_occupancy
Rb1 0.000 0.000 0.000 1
Rb2 0.000 0.323 0.000 1
Pa1 0.000 0.500 0.500 1
Tl1 0.000 0.165 0.500 1
S1 0.217 0.350 0.698 1
S2 0.231 0.500 0.297 1
```

## SmY3S4 (PBE)

Data for SmY3S4 after structural relaxation.

Results
Electronic total energy = -7.0785 eV/atom
Uncorrected formation energy = -2000.8 meV/atom
N(E_F) = 4.89 states/eV/f.u.
Energy above the lowest structure with this stoichiometry = 0.0 meV per atom
Total magnetization = 0.00 μB per formula unit

```
data_SmY3S4
_chemical_formula_sum 'Sm2 Y6 S8'
_space_group_name_H-M_alt 'C m m m'
_space_group_IT_number 65
_space_group_name_Hall '-C 2 2'
_cell_length_a 7.944
_cell_length_b 11.155
_cell_length_c 3.909
_cell_angle_alpha 90.00
_cell_angle_beta 90.00
_cell_angle_gamma 90.00
loop_
_atom_site_label
_atom_site_fract_x
_atom_site_fract_y
_atom_site_fract_z
_atom_site_occupancy
Sm1 0.000 0.000 0.000 1
Y1 0.000 0.500 0.000 1
Y2 0.250 0.250 0.500 1
S1 0.000 0.253 0.000 1
S2 0.244 0.500 0.500 1
```

## Ga2AgIr (PBE)

Data for Ga2AgIr after structural relaxation.

Results
Electronic total energy = -4.2656 eV/atom
N(E_F) = 3.31 states/eV/f.u.
Energy above the lowest structure with this stoichiometry = 319.4 meV per atom
Total magnetization = 0.00 μB per formula unit
Energy of formation from the pure elements = 0.70 eV/f.u.

```
data_Ga2AgIr
_chemical_formula_sum 'Ga6 Ag3 Ir3'
_space_group_name_H-M_alt 'R -3 m'
_space_group_IT_number 166
_space_group_name_Hall '-R 3 2"'
_cell_length_a 2.7984
_cell_length_b 2.7984
_cell_length_c 30.2550
_cell_angle_alpha 90.00
_cell_angle_beta 90.00
_cell_angle_gamma 120.00
loop_
_atom_site_label
_atom_site_fract_x
_atom_site_fract_y
_atom_site_fract_z
_atom_site_occupancy
Ga1 0.0000 0.0000 0.0832 1
Ag1 0.0000 0.0000 0.5000 1
Ir1 0.0000 0.0000 0.0000 1
```